The following is a PBE calculation of crystalline CdCu2AsO6 at its relaxed geometry, from Alexandria via LeMat-Bulk.

Geometry as extended XYZ:
```
20
Lattice="-5.1476 3.0601 -3.9127 -4.9801 -0.9787 4.0903 1.1201 6.1983 1.6779" Properties=species:S:1:pos:R:3 pbc="T T T"
O -3.8912 3.0373 0.9099
O -4.6747 5.3851 3.7610
O -3.0759 3.0849 3.1129
O -0.5420 4.8206 1.9939
O -1.6223 1.5254 -0.0032
O -2.4743 5.9497 0.4665
O -8.4655 3.4591 -0.1384
O -5.9316 5.1949 -1.2573
O -4.3328 2.8946 -1.9055
O -5.1164 5.2424 0.9456
O -7.3853 6.7543 1.8588
O -6.5332 2.3301 1.3890
Cd -4.0344 6.9712 -0.7449
Cd -4.9731 1.3085 2.6005
Cu -4.7739 3.9817 -0.4444
Cu -6.7395 5.9081 0.3167
Cu -2.2681 2.3716 1.5388
Cu -4.2336 4.2981 2.3000
As -8.1428 2.1375 0.8798
As -0.8647 6.1422 0.9758
```

Values from the calculation:
The density of states at the Fermi level comes out at 3.585 states/eV/f.u. The value obtained for the uncorrected formation energy is -0.816 eV/atom. As for the spin magnetization: 0.00 μB/f.u.